# BeNbP2S | the Alexandria database | GGA-PBE | optimized geometry
data_BeNbP2S
_cell_length_a 4.027
_cell_length_b 4.027
_cell_length_c 4.751
_cell_angle_alpha 90.00
_cell_angle_beta 90.00
_cell_angle_gamma 90.00
_symmetry_space_group_name_H-M 'P 4/m m m'
_symmetry_Int_Tables_number 123
_symmetry_space_group_name_Hall '-P 4 2'
loop_
_atom_site_label
_atom_site_type_symbol
_atom_site_fract_x
_atom_site_fract_y
_atom_site_fract_z
Be1 Be 0.000 0.000 0.000
Nb1 Nb 0.500 0.500 0.500
P1 P 0.000 0.500 0.000
S1 S 0.000 0.000 0.500
# **Total magnetization**: 0.12 μB per atom
# **Raw total energy**: -26.21 eV/cell
# **Energy above the most stable polymorph in this dataset**: 0.000 eV per atom